1.
# Na2InBiO4

A geometry-optimized Na2InBiO4 structure (PBE, the Alexandria database).

Cell lengths 5.9525, 3.4112, 5.9648 Å; angles 90.00, 109.40, 90.00 degrees
Fractional coordinates of all 8 atoms:
Na1 0.0000 0.0000 0.0000
Na2 0.5000 0.5000 0.0000
In1 0.0000 0.5000 0.5000
Bi1 0.5000 0.0000 0.5000
O1 0.2247 0.0000 0.7161
O2 0.2376 0.5000 0.2757
O3 0.7624 0.5000 0.7243
O4 0.7753 0.0000 0.2839

Output
* uncorrected formation energy: -1.456 eV/atom
* E: -40.74 eV for the cell shown

---

2.
# TmMgPt

A geometry-optimized TmMgPt structure (PBE, the Alexandria database).

Cell lengths 5.6767, 5.6767, 5.6767 Å; angles 143.96, 143.96, 51.89 degrees
Fractional coordinates of all 3 atoms:
Tm1 0.0000 0.0000 0.0000
Mg1 0.7111 0.7111 0.0000
Pt1 0.3535 0.3535 0.0000

Output
* formation enthalpy at 0 K: -781 meV/atom
* E: -14.45 eV for the cell shown

---

no.,magnetization (μB per atom)
1,0.00
2,0.00